Version one
## ScOs3Br (PBE)

Data for a relaxed ScOs3Br crystal.

```
ScOs3Br
1.0
4.566 0.000 0.000
0.000 4.566 0.000
0.000 0.000 4.566
Sc Os Br
1 3 1
Direct
0.000 0.000 0.000
0.000 0.500 0.500
0.500 0.000 0.500
0.500 0.500 0.000
0.500 0.500 0.500
```

Summary:
Space group: No. 221
N(E_F) in states/eV/cell: 5.40

***

Version two
## ScOs3Br (PBE)

Data for a relaxed ScOs3Br crystal.

```
ScOs3Br
1.0
4.822 0.000 0.000
0.000 4.822 0.000
0.000 0.000 4.822
Sc Os Br
1 3 1
Direct
0.000 0.000 0.000
0.000 0.000 0.500
0.000 0.500 0.000
0.500 0.000 0.000
0.500 0.500 0.500
```

Summary:
Space group: No. 221
N(E_F) in states/eV/cell: 7.85

***

Which of them is the most stable? Correct choice: version one.

***

Version one
## Sc3OsBr (PBE)

Data for a relaxed Sc3OsBr crystal.

```
Sc3OsBr
1.0
5.108 0.000 0.000
0.000 5.108 0.000
0.000 0.000 5.108
Sc Os Br
3 1 1
Direct
0.000 0.000 0.500
0.000 0.500 0.000
0.500 0.000 0.000
0.000 0.000 0.000
0.500 0.500 0.500
```

Summary:
Space group: No. 221
N(E_F) in states/eV/cell: 5.75

***

Version two
## Sc3OsBr (PBE)

Data for a relaxed Sc3OsBr crystal.

```
Sc3OsBr
1.0
4.810 0.000 0.000
0.000 4.810 0.000
0.000 0.000 4.810
Sc Os Br
3 1 1
Direct
0.000 0.000 0.500
0.000 0.500 0.000
0.500 0.000 0.000
0.500 0.500 0.500
0.000 0.000 0.000
```

Summary:
Space group: No. 221
N(E_F) in states/eV/cell: 7.90

***

Which of them is the most stable? Correct choice: version one.

***

Version one
## OsSeBr2 (PBE)

Data for a relaxed OsSeBr2 crystal.

```
OsSeBr2
1.0
3.104 0.000 0.000
0.000 4.520 0.000
0.000 0.000 5.944
Os Se Br
1 1 2
Direct
0.000 0.000 0.000
0.500 0.000 0.500
0.000 0.500 0.500
0.500 0.500 0.000
```

Summary:
Space group: No. 47
N(E_F) in states/eV/cell: 4.03

***

Version two
## OsSeBr2 (PBE)

Data for a relaxed OsSeBr2 crystal.

```
OsSeBr2
1.0
3.102 0.000 0.000
0.000 3.102 0.000
0.000 0.000 9.159
Os Se Br
1 1 2
Direct
0.000 0.000 0.000
0.000 0.000 0.500
0.500 0.500 0.175
0.500 0.500 0.825
```

Summary:
Space group: No. 123
N(E_F) in states/eV/cell: 3.65

***

Which of them is the most stable? Correct choice: version two.

***

Version one
## Os2SeBr (PBE)

Data for a relaxed Os2SeBr crystal.

```
Os2SeBr
1.0
1.495 0.863 9.642
-1.495 0.863 9.642
0.000 -1.726 9.642
Os Se Br
2 1 1
Direct
0.000 0.000 0.000
0.263 0.263 0.263
0.732 0.732 0.732
0.523 0.523 0.523
```

Summary:
Space group: No. 160
N(E_F) in states/eV/cell: 3.36

***

Version two
## Os2SeBr (PBE)

Data for a relaxed Os2SeBr crystal.

```
Os2SeBr
1.0
1.404 -2.560 0.000
1.404 2.560 0.000
0.000 0.000 10.689
Os Se Br
2 1 1
Direct
0.000 0.000 0.000
0.500 0.500 0.196
0.500 0.500 0.785
0.000 0.000 0.435
```

Summary:
Space group: No. 35
N(E_F) in states/eV/cell: 5.24

***

Version three
## Os2SeBr (PBE)

Data for a relaxed Os2SeBr crystal.

```
Os2SeBr
1.0
1.527 0.882 8.080
-1.527 0.882 8.080
0.000 -1.763 8.080
Os Se Br
2 1 1
Direct
0.244 0.244 0.244
0.756 0.756 0.756
0.500 0.500 0.500
0.000 0.000 0.000
```

Summary:
Space group: No. 166
N(E_F) in states/eV/cell: 3.80

***

Version four
## Os2SeBr (PBE)

Data for a relaxed Os2SeBr crystal.

```
Os2SeBr
1.0
4.080 -1.518 0.000
4.080 1.518 0.000
-1.180 0.000 5.536
Os Se Br
2 1 1
Direct
0.247 0.247 0.199
0.753 0.753 0.801
0.500 0.500 0.000
0.000 0.000 0.500
```

Summary:
Space group: No. 12
N(E_F) in states/eV/cell: 2.61

***

Which of them is the most stable? Correct choice: version one.

***

Version one
## Os2SeBr (PBE)

Data for a relaxed Os2SeBr crystal.

```
Os2SeBr
1.0
-2.798 2.798 5.561
2.798 -2.798 5.561
2.798 2.798 -5.561
Os Se Br
4 2 2
Direct
0.104 0.625 0.979
0.375 0.354 0.479
0.646 0.125 0.021
0.875 0.896 0.521
0.000 0.000 0.000
0.750 0.250 0.500
0.250 0.750 0.500
0.500 0.500 0.000
```

Summary:
Space group: No. 122
N(E_F) in states/eV/cell: 7.50

***

Version two
## Os2SeBr (PBE)

Data for a relaxed Os2SeBr crystal.

```
Os2SeBr
1.0
2.878 0.000 0.000
0.000 4.422 0.000
0.000 0.000 5.272
Os Se Br
2 1 1
Direct
0.000 0.000 0.000
0.500 0.000 0.500
0.000 0.500 0.500
0.500 0.500 0.000
```

Summary:
Space group: No. 47
N(E_F) in states/eV/cell: 4.42

***

Version three
## Os2SeBr (PBE)

Data for a relaxed Os2SeBr crystal.

```
Os2SeBr
1.0
4.497 0.000 0.000
0.000 4.497 0.000
0.000 0.000 3.158
Os Se Br
2 1 1
Direct
0.000 0.500 0.000
0.500 0.000 0.000
0.000 0.000 0.500
0.500 0.500 0.500
```

Summary:
Space group: No. 123
N(E_F) in states/eV/cell: 3.03

***

Version four
## Os2SeBr (PBE)

Data for a relaxed Os2SeBr crystal.

```
Os2SeBr
1.0
-1.459 2.231 5.339
1.459 -2.231 5.339
1.459 2.231 -5.339
Os Se Br
2 1 1
Direct
0.000 0.000 0.000
0.798 0.298 0.500
0.559 0.559 0.000
0.267 0.767 0.500
```

Summary:
Space group: No. 44
N(E_F) in states/eV/cell: 2.97

***

Which of them is the most stable? Correct choice: version four.

***

Version one
## Os2SeBr (PBE)

Data for a relaxed Os2SeBr crystal.

```
Os2SeBr
1.0
0.000 3.175 3.175
3.175 0.000 3.175
3.175 3.175 0.000
Os Se Br
2 1 1
Direct
0.250 0.250 0.250
0.750 0.750 0.750
0.000 0.000 0.000
0.500 0.500 0.500
```

Summary:
Space group: No. 225
N(E_F) in states/eV/cell: 3.56

***

Version two
## Os2SeBr (PBE)

Data for a relaxed Os2SeBr crystal.

```
Os2SeBr
1.0
2.905 -4.427 0.000
2.905 4.427 0.000
-1.132 0.000 2.620
Os Se Br
2 1 1
Direct
0.000 0.500 0.000
0.500 0.000 0.000
0.000 0.000 0.000
0.500 0.500 0.000
```

Summary:
Space group: No. 12
N(E_F) in states/eV/cell: 4.81

***

Which of them is the most stable? Correct choice: version one.

***

Version one
## Os2SeBr (PBE)

Data for a relaxed Os2SeBr crystal.

```
Os2SeBr
1.0
3.014 0.000 0.000
0.000 4.041 0.000
-1.173 0.000 6.237
Os Se Br
2 1 1
Direct
0.181 0.000 0.321
0.819 0.000 0.679
0.500 0.500 0.500
0.000 0.500 0.000
```

Summary:
Space group: No. 10
N(E_F) in states/eV/cell: 4.12

***

Version two
## Os2SeBr (PBE)

Data for a relaxed Os2SeBr crystal.

```
Os2SeBr
1.0
-2.251 2.251 3.326
2.251 -2.251 3.326
2.251 2.251 -3.326
Os Se Br
2 1 1
Direct
0.000 0.000 0.000
0.750 0.250 0.500
0.250 0.750 0.500
0.500 0.500 0.000
```

Summary:
Space group: No. 119
N(E_F) in states/eV/cell: 3.85

***

Version three
## Os2SeBr (PBE)

Data for a relaxed Os2SeBr crystal.

```
Os2SeBr
1.0
1.469 -2.751 0.000
1.469 2.751 0.000
0.000 0.000 8.576
Os Se Br
2 1 1
Direct
0.000 0.000 0.229
0.000 0.000 0.771
0.500 0.500 0.000
0.500 0.500 0.500
```

Summary:
Space group: No. 65
N(E_F) in states/eV/cell: 3.53

***

Which of them is the most stable? Correct choice: version one.

***

Version one
## OsSe2Br (PBE)

Data for a relaxed OsSe2Br crystal.

```
OsSe2Br
1.0
3.023 0.000 0.000
0.000 3.023 0.000
0.000 0.000 9.815
Os Se Br
1 2 1
Direct
0.000 0.000 0.000
0.500 0.500 0.161
0.500 0.500 0.839
0.000 0.000 0.500
```

Summary:
Space group: No. 123
N(E_F) in states/eV/cell: 2.89

***

Version two
## OsSe2Br (PBE)

Data for a relaxed OsSe2Br crystal.

```
OsSe2Br
1.0
-2.267 2.267 3.549
2.267 -2.267 3.549
2.267 2.267 -3.549
Os Se Br
1 2 1
Direct
0.000 0.000 0.000
0.250 0.750 0.500
0.500 0.500 0.000
0.750 0.250 0.500
```

Summary:
Space group: No. 119
N(E_F) in states/eV/cell: 3.63

***

Version three
## OsSe2Br (PBE)

Data for a relaxed OsSe2Br crystal.

```
OsSe2Br
1.0
3.176 0.000 0.000
0.000 4.523 0.000
0.000 0.000 5.150
Os Se Br
1 2 1
Direct
0.000 0.000 0.000
0.000 0.500 0.500
0.500 0.000 0.500
0.500 0.500 0.000
```

Summary:
Space group: No. 47
N(E_F) in states/eV/cell: 3.91

***

Version four
## OsSe2Br (PBE)

Data for a relaxed OsSe2Br crystal.

```
OsSe2Br
1.0
3.472 0.000 0.000
0.000 3.472 0.000
0.000 0.000 7.458
Os Se Br
1 2 1
Direct
0.000 0.000 0.000
0.000 0.000 0.327
0.500 0.500 0.116
0.500 0.500 0.718
```

Summary:
Space group: No. 99
N(E_F) in states/eV/cell: 4.28

***

Which of them is the most stable? Correct choice: version one.